(1)
# MnGe2TeRu

A relaxed MnGe2TeRu crystal (PBE, Alexandria).

a b c (Å): 4.572 4.749 4.572
angles (deg): 90.00 90.00 90.00
Fractional positions:
Ru (0.000, 0.500, 0.000)
Ge (0.000, 0.000, 0.500)
Ge (0.500, 0.000, 0.000)
Te (0.500, 0.500, 0.500)
Mn (0.000, 0.000, 0.000)

Calculated values
Raw formation energy in eV per formula unit: 2.80
Space group: P4/mmm, No. 123
Total energy in eV per atom: -5.605
Total magnetic moment in μB/atom: 0.000

=====

(2)
# OsCl

A relaxed OsCl crystal (PBE, Alexandria).

a b c (Å): 2.860 2.860 4.292
angles (deg): 90.00 90.00 120.00
Fractional positions:
Cl (0.000, 0.000, 0.000)
Os (0.667, 0.333, 0.500)

Calculated values
Energy above the lowest structure with this stoichiometry in eV per atom: 1.235
Raw formation energy in eV per formula unit: 2.72
Space group: P-6m2, No. 187
Total energy in eV per atom: -5.180
Total magnetic moment in μB/atom: 0.000

=====

(3)
# InRu3S

A relaxed InRu3S crystal (PBE, Alexandria).

a b c (Å): 4.938 4.938 4.938
angles (deg): 90.00 90.00 90.00
Fractional positions:
Ru (0.000, 0.500, 0.000)
Ru (0.000, 0.000, 0.500)
Ru (0.500, 0.000, 0.000)
S (0.500, 0.500, 0.500)
In (0.000, 0.000, 0.000)

Calculated values
Energy above the lowest structure with this stoichiometry in eV per atom: 1.984
Raw formation energy in eV per formula unit: 11.19
Space group: Pm-3m, No. 221
Total energy in eV per atom: -4.701
Total magnetic moment in μB/atom: 1.378

=====

(4)
# Na2Sr6HN

A relaxed Na2Sr6HN crystal (PBE, Alexandria).

a b c (Å): 7.908 7.908 7.914
angles (deg): 119.94 119.95 90.06
Fractional positions:
Na (0.750, 0.250, 0.500)
Na (0.250, 0.750, 0.500)
Sr (0.762, 0.763, 0.000)
Sr (0.762, 0.762, 0.524)
Sr (0.238, 0.238, 0.000)
Sr (0.762, 0.238, 0.000)
Sr (0.238, 0.238, 0.475)
Sr (0.238, 0.762, 0.000)
H (0.500, 0.501, 0.000)
N (0.000, 0.000, 0.000)

Calculated values
Space group: Fmm2, No. 42
Total energy in eV per atom: -2.648
Total magnetic moment in μB/atom: 0.000

=====

(5)
# MgVPd6

A relaxed MgVPd6 crystal (PBE, Alexandria).

a b c (Å): 3.926 3.926 7.840
angles (deg): 90.00 90.00 90.00
Fractional positions:
Mg (0.000, 0.000, 0.000)
V (0.000, 0.000, 0.500)
Pd (0.500, 0.500, 0.000)
Pd (0.500, 0.500, 0.500)
Pd (0.500, 0.000, 0.261)
Pd (0.500, 0.000, 0.739)
Pd (0.000, 0.500, 0.261)
Pd (0.000, 0.500, 0.739)

Calculated values
Space group: P4/mmm, No. 123
Total energy in eV per atom: -5.636
Total magnetic moment in μB/atom: 0.000
ΔH_f (0 K) in eV/atom: -0.4024

=====

(6)
# HfTaNi6

A relaxed HfTaNi6 crystal (PBE, Alexandria).

a b c (Å): 4.306 5.205 5.205
angles (deg): 120.00 90.00 90.00
Fractional positions:
Hf (0.000, 0.083, 0.917)
Ta (0.500, 0.417, 0.583)
Ni (0.000, 0.075, 0.413)
Ni (0.000, 0.587, 0.925)
Ni (0.000, 0.587, 0.413)
Ni (0.500, 0.432, 0.091)
Ni (0.500, 0.909, 0.568)
Ni (0.500, 0.909, 0.091)

Calculated values
Space group: P-6m2, No. 187
Total energy in eV per atom: -7.497
Total magnetic moment in μB/atom: 0.000
ΔH_f (0 K) in eV/atom: -0.4349

=====

(7)
# TaCoPt2

A relaxed TaCoPt2 crystal (PBE, Alexandria).

a b c (Å): 4.816 4.816 2.785
angles (deg): 90.00 90.00 110.41
Fractional positions:
Co (0.000, 0.500, 0.500)
Pt (0.000, 0.000, 0.000)
Pt (0.500, 0.500, 0.000)
Ta (0.500, 0.000, 0.500)

Calculated values
Energy above the lowest structure with this stoichiometry in eV per atom: 0.229
Space group: Cmmm, No. 65
Total energy in eV per atom: -8.127
Total magnetic moment in μB/atom: 0.483
ΔH_f (0 K) in eV/atom: -0.3670

=====

(8)
# TaWC

A relaxed TaWC crystal (PBE, Alexandria).

a b c (Å): 5.369 5.369 5.369
angles (deg): 149.84 149.84 43.18
Fractional positions:
C (0.013, 0.013, 0.000)
W (0.626, 0.626, 0.000)
Ta (0.362, 0.362, 0.000)

Calculated values
Energy above the lowest structure with this stoichiometry in eV per atom: 0.658
Space group: I4mm, No. 107
Total energy in eV per atom: -11.008
Total magnetic moment in μB/atom: 0.000
ΔH_f (0 K) in eV/atom: 0.3349

=====

(9)
# Ag2IrAu

A relaxed Ag2IrAu crystal (PBE, Alexandria).

a b c (Å): 2.793 2.793 8.688
angles (deg): 90.00 90.00 90.00
Fractional positions:
Ir (0.500, 0.500, 0.750)
Au (0.500, 0.500, 0.250)
Ag (0.000, 0.000, 0.993)
Ag (0.000, 0.000, 0.507)

Calculated values
Energy above the lowest structure with this stoichiometry in eV per atom: 0.066
Space group: P4/mmm, No. 123
Total energy in eV per atom: -4.178
Total magnetic moment in μB/atom: 0.153
ΔH_f (0 K) in eV/atom: 0.2825

=====

(10)
# GaSnI4

A relaxed GaSnI4 crystal (PBE, Alexandria).

a b c (Å): 4.298 7.705 15.044
angles (deg): 88.86 90.00 90.00
Fractional positions:
Ga (0.500, 0.500, 0.500)
Ga (0.000, 0.000, 0.000)
Sn (0.000, 0.000, 0.500)
Sn (0.500, 0.500, 0.000)
I (0.500, 0.190, 0.376)
I (0.000, 0.310, 0.124)
I (0.500, 0.810, 0.624)
I (0.000, 0.690, 0.876)
I (0.001, 0.660, 0.381)
I (0.501, 0.840, 0.119)
I (0.999, 0.340, 0.619)
I (0.499, 0.160, 0.881)

Calculated values
Energy above the lowest structure with this stoichiometry in eV per atom: 0.000
Raw formation energy in eV per formula unit: -2.30
Space group: C2/m, No. 12
Total energy in eV per atom: -2.588
Total magnetic moment in μB/atom: 0.000

=====

(11)
# BaLiNbO4

A relaxed BaLiNbO4 crystal (PBE, Alexandria).

a b c (Å): 6.666 6.031 7.319
angles (deg): 90.00 113.42 90.00
Fractional positions:
Ba (0.736, 0.750, 0.992)
Ba (0.264, 0.250, 0.008)
Li (0.798, 0.750, 0.600)
Li (0.202, 0.250, 0.400)
Nb (0.298, 0.750, 0.323)
Nb (0.702, 0.250, 0.677)
O (0.902, 0.488, 0.751)
O (0.098, 0.988, 0.249)
O (0.098, 0.512, 0.249)
O (0.902, 0.012, 0.751)
O (0.444, 0.750, 0.150)
O (0.556, 0.250, 0.850)
O (0.495, 0.750, 0.591)
O (0.505, 0.250, 0.409)

Calculated values
Raw formation energy in eV per formula unit: -18.03
Space group: P2_1/m, No. 11
Total energy in eV per atom: -7.396
Total magnetic moment in μB/atom: 0.000

=====

(12)
# NbAlPd5

A relaxed NbAlPd5 crystal (PBE, Alexandria).

a b c (Å): 4.021 4.021 6.929
angles (deg): 90.00 90.00 90.00
Fractional positions:
Nb (0.000, 0.000, 0.500)
Al (0.500, 0.500, 0.000)
Pd (0.000, 0.500, 0.780)
Pd (0.000, 0.500, 0.220)
Pd (0.500, 0.000, 0.780)
Pd (0.500, 0.000, 0.220)
Pd (0.500, 0.500, 0.500)

Calculated values
Energy above the lowest structure with this stoichiometry in eV per atom: 0.000
Space group: P4/mmm, No. 123
Total energy in eV per atom: -6.216
Total magnetic moment in μB/atom: 0.001
ΔH_f (0 K) in eV/atom: -0.5338

=====

Listing DOS at the Fermi energy for the structures above in their given order: 4.31 1.72 6.98 5.87 5.32 3.90 3.88 1.74 3.40 3.75 0.00 3.03 states/eV/f.u..